## CaPu2As2Pd2 (PBE-GGA)

Data for a geometry-optimized CaPu2As2Pd2 structure.

Unit cell a=4.5003 b=4.5003 c=25.5912 alpha=90.00 beta=90.00 gamma=120.00
Space group R-3m (No. 166, hexagonal axes)
One atom of each set of equivalent atoms:
Ca (0.0000, 0.0000, 0.0000) (multiplicity 3)
Pu (0.0000, 0.0000, 0.1406) (multiplicity 6)
As (0.0000, 0.0000, 0.2607) (multiplicity 6)
Pd (0.0000, 0.0000, 0.4229) (multiplicity 6)

Calculated values
E_form (eV/atom): -0.73
Theoretical density (Mg/m³): 9.9
Size of the total moment (Bohr magnetons per cell): 32.01
N(E_F) (states/eV/f.u.): 12.55